Below is Li5AcGa2 after structural relaxation, with properties calculated at the PBE level.

Output
Spin magnetization in μB per atom: 0.000
Formation energy from the elements in eV per atom: -0.179
DFT total energy in eV per atom: -2.6451

```
data_Li5AcGa2
_chemical_formula_sum 'Li10 Ac2 Ga4'
_cell_length_a 4.5412
_cell_length_b 7.8750
_cell_length_c 9.9397
_cell_angle_alpha 90.00
_cell_angle_beta 90.00
_cell_angle_gamma 90.00
_space_group_name_H-M_alt 'I m m m'
_space_group_IT_number 71
_space_group_name_Hall '-I 2 2'
loop_
_atom_site_label
_atom_site_fract_x
_atom_site_fract_y
_atom_site_fract_z
Li1 0.0000 0.0000 0.0000
Li2 0.0000 0.3242 0.3355
Ac1 0.0000 0.5000 0.0000
Ga1 0.0000 0.0000 0.2609
```


Below is LiAc3Ga8 after structural relaxation, with properties calculated at the PBE level.

Output
Spin magnetization in μB per atom: 0.000
Formation energy from the elements in eV per atom: -0.397
DFT total energy in eV per atom: -3.6012

```
data_LiAc3Ga8
_chemical_formula_sum 'Li3 Ac9 Ga24'
_cell_length_a 5.7951
_cell_length_b 5.7951
_cell_length_c 28.5527
_cell_angle_alpha 90.00
_cell_angle_beta 90.00
_cell_angle_gamma 120.00
_space_group_name_H-M_alt 'R 3 m'
_space_group_IT_number 160
_space_group_name_Hall 'R 3 -2"'
loop_
_atom_site_label
_atom_site_fract_x
_atom_site_fract_y
_atom_site_fract_z
Li1 0.0000 0.0000 0.0000
Ac1 0.0000 0.0000 0.1211
Ac2 0.0000 0.0000 0.5047
Ac3 0.0000 0.0000 0.6337
Ga1 0.0000 0.0000 0.3171
Ga2 0.0000 0.0000 0.8168
Ga3 0.0002 0.5001 0.5681
Ga4 0.0015 0.5007 0.0663
```


Below is Li2Ac3Ga4 after structural relaxation, with properties calculated at the PBE level.

Output
Spin magnetization in μB per atom: 0.000
Formation energy from the elements in eV per atom: -0.406
DFT total energy in eV per atom: -3.5457

```
data_Li2Ac3Ga4
_chemical_formula_sum 'Li4 Ac6 Ga8'
_cell_length_a 11.6494
_cell_length_b 4.6336
_cell_length_c 9.2777
_cell_angle_alpha 90.00
_cell_angle_beta 105.29
_cell_angle_gamma 90.00
_space_group_name_H-M_alt 'C 1 2/m 1'
_space_group_IT_number 12
loop_
_space_group_symop_operation_xyz
'x,y,z'
'-x,-y,-z'
'-x,y,-z'
'x,-y,z'
'x+1/2,y+1/2,z'
'-x+1/2,-y+1/2,-z'
'-x+1/2,y+1/2,-z'
'x+1/2,-y+1/2,z'
loop_
_atom_site_label
_atom_site_fract_x
_atom_site_fract_y
_atom_site_fract_z
Li1 0.1185 0.0000 0.2890
Ac1 0.0000 0.5000 0.0000
Ac2 0.1674 0.0000 0.6757
Ga1 0.0614 0.5000 0.4048
Ga2 0.2164 0.0000 0.0523
```


Below is Li5AcGa7 after structural relaxation, with properties calculated at the PBE level.

Output
Spin magnetization in μB per atom: 0.000
Formation energy from the elements in eV per atom: -0.325
DFT total energy in eV per atom: -3.0074

```
data_Li5AcGa7
_chemical_formula_sum 'Li10 Ac2 Ga14'
_cell_length_a 5.3058
_cell_length_b 9.3103
_cell_length_c 9.3646
_cell_angle_alpha 90.00
_cell_angle_beta 90.00
_cell_angle_gamma 90.00
_space_group_name_H-M_alt 'I m m 2'
_space_group_IT_number 44
loop_
_space_group_symop_operation_xyz
'x,y,z'
'-x,-y,z'
'-x,y,z'
'x,-y,z'
'x+1/2,y+1/2,z+1/2'
'-x+1/2,-y+1/2,z+1/2'
'-x+1/2,y+1/2,z+1/2'
'x+1/2,-y+1/2,z+1/2'
loop_
_atom_site_label
_atom_site_fract_x
_atom_site_fract_y
_atom_site_fract_z
Li1 0.0000 0.0000 0.0000
Li2 0.2452 0.2481 0.4780
Ac1 0.0000 0.5000 0.7370
Ga1 0.0000 0.0000 0.4731
Ga2 0.0000 0.1465 0.7364
Ga3 0.0000 0.2305 0.2218
Ga4 0.0000 0.5000 0.0837
Ga5 0.0000 0.5000 0.3721
```


Below is Li4AcGa after structural relaxation, with properties calculated at the PBE level.

Output
Spin magnetization in μB per atom: 0.000
Energy above the most stable polymorph in this dataset in meV per atom: 67
Formation energy from the elements in eV per atom: -0.023
DFT total energy in eV per atom: -2.4883

```
data_Li4AcGa
_chemical_formula_sum 'Li16 Ac4 Ga4'
_cell_length_a 4.9752
_cell_length_b 14.5650
_cell_length_c 7.3996
_cell_angle_alpha 90.00
_cell_angle_beta 90.00
_cell_angle_gamma 90.00
_space_group_name_H-M_alt 'C m c m'
_space_group_IT_number 63
_space_group_name_Hall '-C 2c 2'
loop_
_atom_site_label
_atom_site_fract_x
_atom_site_fract_y
_atom_site_fract_z
Li1 0.0000 0.0000 0.0000
Li2 0.0000 0.2313 0.0736
Li3 0.0000 0.3931 0.2500
Ac1 0.0000 0.3890 0.7500
Ga1 0.0000 0.1601 0.7500
```


Below is Li5Ac2Ga4 after structural relaxation, with properties calculated at the PBE level.

Output
Spin magnetization in μB per atom: 0.051
Formation energy from the elements in eV per atom: -0.251
DFT total energy in eV per atom: -2.9685

```
data_Li5Ac2Ga4
_chemical_formula_sum 'Li10 Ac4 Ga8'
_cell_length_a 13.7393
_cell_length_b 5.6513
_cell_length_c 8.4074
_cell_angle_alpha 90.00
_cell_angle_beta 127.64
_cell_angle_gamma 90.00
_space_group_name_H-M_alt 'C 1 2/m 1'
_space_group_IT_number 12
loop_
_space_group_symop_operation_xyz
'x,y,z'
'-x,-y,-z'
'-x,y,-z'
'x,-y,z'
'x+1/2,y+1/2,z'
'-x+1/2,-y+1/2,-z'
'-x+1/2,y+1/2,-z'
'x+1/2,-y+1/2,z'
loop_
_atom_site_label
_atom_site_fract_x
_atom_site_fract_y
_atom_site_fract_z
Li1 0.0000 0.0000 0.0000
Li2 0.0478 0.2486 0.7443
Ac1 0.2183 0.5000 0.2814
Ga1 0.1201 0.5000 0.5522
Ga2 0.2261 0.0000 0.0585
```


Below is LiAcLuGa after structural relaxation, with properties calculated at the PBE level.

Output
Spin magnetization in μB per atom: 0.020
Formation energy from the elements in eV per atom: -0.203
DFT total energy in eV per atom: -3.5952

```
data_LiAcLuGa
_chemical_formula_sum 'Li4 Ac4 Lu4 Ga4'
_cell_length_a 7.5323
_cell_length_b 7.5323
_cell_length_c 7.5323
_cell_angle_alpha 90.00
_cell_angle_beta 90.00
_cell_angle_gamma 90.00
_space_group_name_H-M_alt 'F -4 3 m'
_space_group_IT_number 216
_space_group_name_Hall 'F -4 2 3'
loop_
_atom_site_label
_atom_site_fract_x
_atom_site_fract_y
_atom_site_fract_z
Li1 0.0000 0.0000 0.0000
Ac1 0.2500 0.2500 0.2500
Lu1 0.2500 0.2500 0.7500
Ga1 0.0000 0.0000 0.5000
```


Below is Li4Ac2MgGa3 after structural relaxation, with properties calculated at the PBE level.

Output
Spin magnetization in μB per atom: 0.000
Formation energy from the elements in eV per atom: -0.229
DFT total energy in eV per atom: -2.8842

```
data_Li4Ac2MgGa3
_chemical_formula_sum 'Li4 Ac2 Mg1 Ga3'
_cell_length_a 4.7586
_cell_length_b 4.7586
_cell_length_c 10.0859
_cell_angle_alpha 90.00
_cell_angle_beta 90.00
_cell_angle_gamma 90.00
_space_group_name_H-M_alt 'P -4 m 2'
_space_group_IT_number 115
loop_
_space_group_symop_operation_xyz
'x,y,z'
'y,-x,-z'
'-x,-y,z'
'-y,x,-z'
'-x,y,z'
'-y,-x,-z'
'x,-y,z'
'y,x,-z'
loop_
_atom_site_label
_atom_site_fract_x
_atom_site_fract_y
_atom_site_fract_z
Li1 0.0000 0.0000 0.0000
Li2 0.0000 0.5000 0.3749
Li3 0.5000 0.5000 0.0000
Ac1 0.0000 0.5000 0.7663
Mg1 0.5000 0.5000 0.5000
Ga1 0.0000 0.0000 0.5000
Ga2 0.0000 0.5000 0.1244
```


Copy entry 1 word for word.
Below is Li5AcGa2 after structural relaxation, with properties calculated at the PBE level.

Output
Spin magnetization in μB per atom: 0.000
Formation energy from the elements in eV per atom: -0.179
DFT total energy in eV per atom: -2.6451

```
data_Li5AcGa2
_chemical_formula_sum 'Li10 Ac2 Ga4'
_cell_length_a 4.5412
_cell_length_b 7.8750
_cell_length_c 9.9397
_cell_angle_alpha 90.00
_cell_angle_beta 90.00
_cell_angle_gamma 90.00
_space_group_name_H-M_alt 'I m m m'
_space_group_IT_number 71
_space_group_name_Hall '-I 2 2'
loop_
_atom_site_label
_atom_site_fract_x
_atom_site_fract_y
_atom_site_fract_z
Li1 0.0000 0.0000 0.0000
Li2 0.0000 0.3242 0.3355
Ac1 0.0000 0.5000 0.0000
Ga1 0.0000 0.0000 0.2609
```